Here is a geometry-optimized Cs3Pm2ZrSe6 structure from Alexandria via LeMat-Bulk. Energies are from PBE.

a b c (Å): 7.337 7.337 8.761
angles (deg): 98.04 98.04 120.00
Sites, in units of the cell vectors:
Cs (0.000, 0.000, 0.000)
Cs (0.329, 0.671, 0.000)
Cs (0.671, 0.329, 0.000)
Pm (0.166, 0.834, 0.500)
Pm (0.834, 0.166, 0.500)
Zr (0.500, 0.500, 0.500)
Se (0.123, 0.438, 0.313)
Se (0.249, 0.249, 0.689)
Se (0.438, 0.123, 0.313)
Se (0.562, 0.877, 0.687)
Se (0.751, 0.751, 0.311)
Se (0.877, 0.562, 0.687)

Values from the calculation:
- Energy relative to the elements, uncorrected: -1558 meV/atom
- Symmetry: C2/m, No. 12